Record 1
Li2Cd2In2IrPd: optimized geometry, PBE.

Unit cell a=4.613 b=4.613 c=6.515 alpha=90.00 beta=90.00 gamma=90.00
Element x y z (fractional)
In: 0.500 0.000 0.755
In: 0.000 0.500 0.245
Cd: 0.500 0.000 0.249
Cd: 0.000 0.500 0.751
Pd: 0.000 0.000 0.500
Ir: 0.500 0.500 0.000
Li: 0.000 0.000 0.000
Li: 0.500 0.500 0.500

Computed properties:
VASP energy: -3.495 eV per atom

Record 2
Li2Cd2InSnIr2: optimized geometry, PBE.

Unit cell a=4.587 b=4.587 c=6.479 alpha=90.00 beta=90.00 gamma=90.00
Element x y z (fractional)
In: 0.000 0.000 0.000
Cd: 0.500 0.500 0.000
Cd: 0.000 0.000 0.500
Li: 0.500 0.000 0.249
Li: 0.000 0.500 0.751
Ir: 0.000 0.500 0.257
Ir: 0.500 0.000 0.743
Sn: 0.500 0.500 0.500

Computed properties:
VASP energy: -4.024 eV per atom

Record 3
Na2MgCdIn2Ir2: optimized geometry, PBE.

Unit cell a=4.716 b=4.716 c=6.674 alpha=90.00 beta=90.00 gamma=90.00
Element x y z (fractional)
Mg: 0.000 0.000 0.500
Na: 0.000 0.500 0.750
Na: 0.500 0.000 0.250
Ir: 0.500 0.000 0.744
Ir: 0.000 0.500 0.256
In: 0.000 0.000 0.000
In: 0.500 0.500 0.500
Cd: 0.500 0.500 0.000

Computed properties:
VASP energy: -3.615 eV per atom

Record 4
RbCd2InIr: optimized geometry, PBE.

Unit cell a=5.354 b=5.354 c=5.168 alpha=90.00 beta=90.00 gamma=90.00
Element x y z (fractional)
Rb: 0.500 0.500 0.500
Cd: 0.500 0.000 0.000
Cd: 0.000 0.500 0.000
In: 0.000 0.000 0.500
Ir: 0.000 0.000 0.000

Computed properties:
VASP energy: -2.993 eV per atom